{"formula": "PmZrCdAg", "functional": "PBE-GGA", "state": "relaxed", "cell": [[0.0000, 3.6399, 3.6399], [3.6399, 0.0000, 3.6399], [3.6399, 3.6399, 0.0000]], "species": ["Pm", "Zr", "Cd", "Ag"], "frac_coords": [[0.0000, 0.0000, 0.0000], [0.5000, 0.5000, 0.5000], [0.2500, 0.2500, 0.2500], [0.7500, 0.7500, 0.7500]], "dos_at_fermi_per_ev_cell": 3.5, "crystal_system": "cubic", "m_tot_mub_per_atom": 0.337, "formation_energy_ev_per_fu": -0.27, "total_energy_ev_per_cell": -17.34, "space_group": "F-43m"}

{"formula": "PrCd4Ag", "functional": "PBE-GGA", "state": "relaxed", "cell": [[0.0000, 4.1540, 4.1540], [4.1540, 0.0000, 4.1540], [4.1540, 4.1540, 0.0000]], "species": ["Pr", "Cd", "Cd", "Cd", "Cd", "Ag"], "frac_coords": [[0.0000, 0.0000, 0.0000], [0.3751, 0.3751, 0.3751], [0.3751, 0.3751, 0.8747], [0.3751, 0.8747, 0.3751], [0.8747, 0.3751, 0.3751], [0.7500, 0.7500, 0.7500]], "dos_at_fermi_per_ev_cell": 5.2, "crystal_system": "cubic", "m_tot_mub_per_atom": 0.000, "relative_energy_mev_per_atom": 118, "formation_energy_ev_per_fu": -0.55, "total_energy_ev_per_cell": -11.84, "space_group": "F-43m"}